# 1
PBE CaDy2Y4Ho, optimized geometry; VASP energy = -4.762 eV per atom; crystal system = monoclinic; DFT formation energy = 0.44 eV per atom; size of the total moment = 2.81 μB/f.u.
1.0
6.884 -6.697 0.000
6.884 6.697 0.000
-3.390 0.000 5.935
Ca Dy Y Ho
2 4 8 2
Direct
0.000 0.000 0.000 Ca
0.000 0.000 0.500 Ca
0.000 0.500 0.000 Dy
0.500 0.000 0.500 Dy
0.500 0.500 0.000 Dy
0.500 0.500 0.500 Dy
0.254 0.746 0.000 Y
0.254 0.746 0.500 Y
0.266 0.267 0.517 Y
0.267 0.266 0.017 Y
0.733 0.734 0.983 Y
0.734 0.733 0.483 Y
0.746 0.254 0.000 Y
0.746 0.254 0.500 Y
0.000 0.500 0.500 Ho
0.500 0.000 0.000 Ho

---

# 2
PBE RbLi2BiAs, optimized geometry; VASP energy = -2.900 eV per atom; crystal system = tetragonal; DFT formation energy = -0.23 eV per atom; size of the total moment = 0.00 μB/f.u.
1.0
5.103 0.000 0.000
0.000 5.103 0.000
0.000 0.000 6.064
Rb Li Bi As
1 2 1 1
Direct
0.000 0.000 0.000 Rb
0.000 0.500 0.500 Li
0.500 0.000 0.500 Li
0.500 0.500 0.000 Bi
0.500 0.500 0.500 As

---

# 3
PBE Pa2InTe8, optimized geometry; VASP energy = -4.411 eV per atom; crystal system = trigonal; uncorrected formation energy = -0.15 eV per atom; size of the total moment = 0.00 μB/f.u.
1.0
9.284 0.000 0.000
-4.642 8.040 0.000
0.000 0.000 5.871
Pa In Te
2 1 8
Direct
0.333 0.667 0.259 Pa
0.667 0.333 0.741 Pa
0.000 0.000 0.500 In
0.152 0.304 0.211 Te
0.152 0.848 0.211 Te
0.304 0.152 0.789 Te
0.333 0.667 0.757 Te
0.667 0.333 0.243 Te
0.696 0.848 0.211 Te
0.848 0.152 0.789 Te
0.848 0.696 0.789 Te